# Pr2Sn3PdRh4, optimized geometry, DFT PBE
data_Pr2Sn3PdRh4
_chemical_formula_sum 'Pr2 Sn3 Pd1 Rh4'
_symmetry_space_group_name_H-M 'P 1'
_symmetry_Int_Tables_number 1
_symmetry_space_group_name_Hall 'P 1'
_cell_length_a 4.2512
_cell_length_b 4.2512
_cell_length_c 11.7196
_cell_angle_alpha 90.00
_cell_angle_beta 90.00
_cell_angle_gamma 90.00
loop_
_atom_site_label
_atom_site_type_symbol
_atom_site_fract_x
_atom_site_fract_y
_atom_site_fract_z
_atom_site_occupancy
Pr1 Pr 0.0000 0.5000 0.2305 1
Pr2 Pr 0.5000 0.0000 0.7695 1
Sn1 Sn 0.0000 0.0000 0.0000 1
Sn2 Sn 0.0000 0.5000 0.6290 1
Sn3 Sn 0.5000 0.0000 0.3710 1
Pd1 Pd 0.5000 0.5000 0.0000 1
Rh1 Rh 0.0000 0.0000 0.5000 1
Rh2 Rh 0.0000 0.5000 0.8513 1
Rh3 Rh 0.5000 0.0000 0.1487 1
Rh4 Rh 0.5000 0.5000 0.5000 1
# Spin magnetization ... 0.000 Bohr magnetons per cell
# Space-group type ... P-4m2
# Formation energy from the elements ... -6.580 eV/f.u.
# Crystal system ... tetragonal



# Nd2SmDySe6, optimized geometry, DFT PBE
data_Nd2SmDySe6
_chemical_formula_sum 'Nd2 Sm1 Dy1 Se6'
_symmetry_space_group_name_H-M 'P 1'
_symmetry_Int_Tables_number 1
_symmetry_space_group_name_Hall 'P 1'
_cell_length_a 7.8341
_cell_length_b 7.8341
_cell_length_c 7.8341
_cell_angle_alpha 56.33
_cell_angle_beta 56.33
_cell_angle_gamma 56.33
loop_
_atom_site_label
_atom_site_type_symbol
_atom_site_fract_x
_atom_site_fract_y
_atom_site_fract_z
_atom_site_occupancy
Nd1 Nd 0.0000 0.0000 0.0000 1
Nd2 Nd 0.4985 0.4985 0.4985 1
Sm1 Sm 0.2974 0.2974 0.2974 1
Dy1 Dy 0.7993 0.7993 0.7993 1
Se1 Se 0.0845 0.4124 0.6911 1
Se2 Se 0.1885 0.9045 0.5928 1
Se3 Se 0.4124 0.6911 0.0845 1
Se4 Se 0.5928 0.1885 0.9045 1
Se5 Se 0.6911 0.0845 0.4124 1
Se6 Se 0.9045 0.5928 0.1885 1
# Spin magnetization ... 0.000 Bohr magnetons per cell
# ΔE_f (raw) ... -1.843 eV/atom
# Space-group type ... R3
# Crystal system ... trigonal



# Sc3Te, optimized geometry, DFT PBE
data_Sc3Te
_chemical_formula_sum 'Sc3 Te1'
_symmetry_space_group_name_H-M 'P 1'
_symmetry_Int_Tables_number 1
_symmetry_space_group_name_Hall 'P 1'
_cell_length_a 4.4911
_cell_length_b 4.4911
_cell_length_c 4.4911
_cell_angle_alpha 90.00
_cell_angle_beta 90.00
_cell_angle_gamma 90.00
loop_
_atom_site_label
_atom_site_type_symbol
_atom_site_fract_x
_atom_site_fract_y
_atom_site_fract_z
_atom_site_occupancy
Sc1 Sc 0.0000 0.0000 0.5000 1
Sc2 Sc 0.0000 0.5000 0.0000 1
Sc3 Sc 0.5000 0.0000 0.0000 1
Te1 Te 0.5000 0.5000 0.5000 1
# Spin magnetization ... 2.018 Bohr magnetons per cell
# ΔE_f (raw) ... -0.403 eV/atom
# Space-group type ... Pm-3m
# Crystal system ... cubic



# Tl2CrSnCl6, optimized geometry, DFT PBE
data_Tl2CrSnCl6
_chemical_formula_sum 'Tl4 Cr2 Sn2 Cl12'
_symmetry_space_group_name_H-M 'P 1'
_symmetry_Int_Tables_number 1
_symmetry_space_group_name_Hall 'P 1'
_cell_length_a 7.2439
_cell_length_b 7.4752
_cell_length_c 12.7184
_cell_angle_alpha 90.00
_cell_angle_beta 124.44
_cell_angle_gamma 90.00
loop_
_atom_site_label
_atom_site_type_symbol
_atom_site_fract_x
_atom_site_fract_y
_atom_site_fract_z
_atom_site_occupancy
Tl1 Tl 0.2344 0.0574 0.2487 1
Tl2 Tl 0.2344 0.4426 0.7487 1
Tl3 Tl 0.7656 0.5574 0.2513 1
Tl4 Tl 0.7656 0.9426 0.7513 1
Cr1 Cr 0.0000 0.0000 0.5000 1
Cr2 Cr 0.0000 0.5000 0.0000 1
Sn1 Sn 0.5000 0.0000 0.0000 1
Sn2 Sn 0.5000 0.5000 0.5000 1
Cl1 Cl 0.1527 0.2249 0.9636 1
Cl2 Cl 0.1527 0.2751 0.4636 1
Cl3 Cl 0.2433 0.6898 0.9656 1
Cl4 Cl 0.2433 0.8102 0.4656 1
Cl5 Cl 0.3040 0.0129 0.7343 1
Cl6 Cl 0.3040 0.4871 0.2343 1
Cl7 Cl 0.6960 0.5129 0.7657 1
Cl8 Cl 0.6960 0.9871 0.2657 1
Cl9 Cl 0.7567 0.1898 0.5344 1
Cl10 Cl 0.7567 0.3102 0.0344 1
Cl11 Cl 0.8473 0.7249 0.5364 1
Cl12 Cl 0.8473 0.7751 0.0364 1
# Spin magnetization ... 8.000 Bohr magnetons per cell
# ΔE_f (raw) ... -0.984 eV/atom
# Space-group type ... P2_1/c
# Crystal system ... monoclinic



# LiTmNpS4, optimized geometry, DFT PBE
data_LiTmNpS4
_chemical_formula_sum 'Li2 Tm2 Np2 S8'
_symmetry_space_group_name_H-M 'P 1'
_symmetry_Int_Tables_number 1
_symmetry_space_group_name_Hall 'P 1'
_cell_length_a 7.8630
_cell_length_b 7.8630
_cell_length_c 7.8630
_cell_angle_alpha 120.59
_cell_angle_beta 118.86
_cell_angle_gamma 90.49
loop_
_atom_site_label
_atom_site_type_symbol
_atom_site_fract_x
_atom_site_fract_y
_atom_site_fract_z
_atom_site_occupancy
Li1 Li 0.3834 0.1334 0.2500 1
Li2 Li 0.6166 0.8666 0.7500 1
Tm1 Tm 0.0000 0.0000 0.5000 1
Tm2 Tm 0.0000 0.5000 0.0000 1
Np1 Np 0.0000 0.5000 0.5000 1
Np2 Np 0.5000 0.5000 0.0000 1
S1 S 0.2255 0.7416 0.4840 1
S2 S 0.2424 0.2584 0.9840 1
S3 S 0.2445 0.2614 0.5169 1
S4 S 0.2445 0.7277 0.9831 1
S5 S 0.7555 0.2723 0.0169 1
S6 S 0.7555 0.7386 0.4831 1
S7 S 0.7576 0.7416 0.0160 1
S8 S 0.7745 0.2584 0.5160 1
# Spin magnetization ... 6.000 Bohr magnetons per cell
# ΔE_f (raw) ... -1.579 eV/atom
# Space-group type ... Imma
# Crystal system ... orthorhombic



# LiFeIr2, optimized geometry, DFT PBE
data_LiFeIr2
_chemical_formula_sum 'Li1 Fe1 Ir2'
_symmetry_space_group_name_H-M 'P 1'
_symmetry_Int_Tables_number 1
_symmetry_space_group_name_Hall 'P 1'
_cell_length_a 2.6370
_cell_length_b 4.0235
_cell_length_c 5.1969
_cell_angle_alpha 90.00
_cell_angle_beta 104.44
_cell_angle_gamma 90.00
loop_
_atom_site_label
_atom_site_type_symbol
_atom_site_fract_x
_atom_site_fract_y
_atom_site_fract_z
_atom_site_occupancy
Li1 Li 0.0000 0.0000 0.0000 1
Fe1 Fe 0.5000 0.0000 0.5000 1
Ir1 Ir 0.1542 0.5000 0.7660 1
Ir2 Ir 0.8458 0.5000 0.2340 1
# Spin magnetization ... 3.618 Bohr magnetons per cell
# Space-group type ... P2/m
# Formation energy from the elements ... -0.016 eV/f.u.
# Crystal system ... monoclinic



Computed density of states at the Fermi level, in the same sequence as the records: 5.9 0.0 4.4 7.3 19.4 3.4 states/eV/cell.
Computed VASP energy, in the same sequence as the records: -6.275 -5.819 -5.937 -3.928 -6.699 -7.029 eV/atom.